# 1
LiCa2I PBE-GGA relaxed; volume = 294 Å³ per cell; N(E_F) = 2.09 states/eV/cell; excess energy over the best structure of this formula in the dataset = 0.58 eV/f.u.; symmetry = I-42d; ρ = 2.4 g/cm3
1.0
-4.334 4.334 3.916
4.334 -4.334 3.916
4.334 4.334 -3.916
Li Ca I
2 4 2
Cartesian
0.000 0.000 0.000
0.000 4.334 1.958
2.167 -2.162 2.937
2.172 2.167 0.979
2.167 6.497 -0.979
2.162 2.167 4.895
4.334 0.000 1.958
0.000 0.000 3.916

---

# 2
LiCaI PBE-GGA relaxed; volume = 85 Å³ per cell; N(E_F) = 0.90 states/eV/cell; excess energy over the best structure of this formula in the dataset = 0.51 eV/f.u.; symmetry = P-6m2; ρ = 3.4 g/cm3
1.0
4.888 0.000 0.000
-2.444 4.233 0.000
0.000 0.000 4.114
Li Ca I
1 1 1
Cartesian
0.000 0.000 0.000
2.444 1.411 2.057
0.000 2.822 0.000

---

# 3
LiCaI2 PBE-GGA relaxed; volume = 125 Å³ per cell; N(E_F) = 0.98 states/eV/cell; excess energy over the best structure of this formula in the dataset = 0.00 eV/f.u.; symmetry = R-3m; ρ = 4.0 g/cm3
1.0
2.076 1.199 8.385
-2.076 1.199 8.385
0.000 -2.398 8.385
Li Ca I
1 1 2
Cartesian
0.000 0.000 0.000
0.000 0.000 12.577
0.000 0.000 6.611
0.000 0.000 18.544

---

# 4
Li6CaI8 PBE-GGA relaxed; volume = 453 Å³ per cell; N(E_F) = 0.00 states/eV/cell; symmetry = Fm-3m; ρ = 4.0 g/cm3
1.0
0.000 6.096 6.096
6.096 0.000 6.096
6.096 6.096 0.000
Li Ca I
6 1 8
Cartesian
3.048 3.048 0.000
3.048 0.000 3.048
6.096 3.048 3.048
0.000 3.048 3.048
3.048 6.096 3.048
3.048 3.048 6.096
0.000 0.000 0.000
3.048 3.048 3.048
6.096 6.096 3.097
6.096 3.097 6.096
9.096 6.096 6.096
3.097 6.096 6.096
6.096 9.096 6.096
6.096 6.096 9.096
9.145 9.145 9.145

---

# 5
Li3CaI PBE-GGA relaxed; volume = 160 Å³ per cell; N(E_F) = 3.52 states/eV/cell; excess energy over the best structure of this formula in the dataset = 0.00 eV/f.u.; symmetry = Pm-3m; ρ = 1.9 g/cm3
1.0
5.431 0.000 0.000
0.000 5.431 0.000
0.000 0.000 5.431
Li Ca I
3 1 1
Cartesian
0.000 0.000 2.715
0.000 2.715 0.000
2.715 0.000 0.000
2.715 2.715 2.715
0.000 0.000 0.000

---

# 6
LiCa2I PBE-GGA relaxed; volume = 152 Å³ per cell; N(E_F) = 2.06 states/eV/cell; excess energy over the best structure of this formula in the dataset = 0.56 eV/f.u.; symmetry = R-3m; ρ = 2.3 g/cm3
1.0
1.958 1.130 11.444
-1.958 1.130 11.444
0.000 -2.261 11.444
Li Ca I
1 2 1
Cartesian
0.000 0.000 0.000
0.000 0.000 3.269
0.000 0.000 31.064
0.000 0.000 17.166

---

# 7
Li2Ca2I PBE-GGA relaxed; volume = 153 Å³ per cell; N(E_F) = 3.89 states/eV/cell; excess energy over the best structure of this formula in the dataset = 0.00 eV/f.u.; symmetry = I4/mmm; ρ = 2.4 g/cm3
1.0
-1.967 1.967 9.881
1.967 -1.967 9.881
1.967 1.967 -9.881
Li Ca I
2 2 1
Cartesian
1.967 0.000 4.941
0.000 1.967 4.941
0.000 0.000 2.218
0.000 0.000 17.544
0.000 0.000 9.881

---

# 8
Li2Ca2I PBE-GGA relaxed; volume = 310 Å³ per cell; N(E_F) = 9.75 states/eV/cell; excess energy over the best structure of this formula in the dataset = 0.26 eV/f.u.; symmetry = P4/mbm; ρ = 2.4 g/cm3
1.0
8.056 0.000 0.000
0.000 8.056 0.000
0.000 0.000 4.769
Li Ca I
4 4 2
Cartesian
1.070 2.958 0.000
2.958 6.986 0.000
5.098 1.070 0.000
6.986 5.098 0.000
1.291 5.319 2.385
2.737 1.291 2.385
5.319 6.764 2.385
6.764 2.737 2.385
0.000 0.000 0.000
4.028 4.028 0.000

---

It is found that the uncorrected formation energy values, taken in the order of the records, are -0.290, -0.484, -1.006, -1.258, -0.151, -0.297, -0.295, -0.243 eV per atom.